{"formula": "NdIn6S8", "functional": "GGA-PBE", "state": "relaxed", "lattice_angstrom": [[-3.6789, -0.2986, -6.2070], [5.9509, -3.0951, -2.6753], [-2.7465, -6.1409, 2.6262]], "species": ["Nd", "S", "S", "S", "S", "S", "S", "S", "S", "In", "In", "In", "In", "In", "In"], "fractional_positions": [[0.0000, 0.0000, 0.0000], [0.7401, 0.7401, 0.7401], [0.9038, 0.1745, 0.6371], [0.1745, 0.6371, 0.9038], [0.8255, 0.3629, 0.0962], [0.6371, 0.9038, 0.1745], [0.0962, 0.8255, 0.3629], [0.3629, 0.0962, 0.8255], [0.2599, 0.2599, 0.2599], [0.3368, 0.6203, 0.2292], [0.6203, 0.2292, 0.3368], [0.3797, 0.7708, 0.6632], [0.6632, 0.3797, 0.7708], [0.2292, 0.3368, 0.6203], [0.7708, 0.6632, 0.3797]], "total_energy_ev_per_fu": -62.222}



{"formula": "Nd7InS5", "functional": "GGA-PBE", "state": "relaxed", "lattice_angstrom": [[4.0877, 0.0000, 0.0000], [-2.0439, 6.7855, 0.0094], [0.0000, -0.0244, 24.5557]], "species": ["In", "In", "Nd", "Nd", "Nd", "Nd", "Nd", "Nd", "Nd", "Nd", "Nd", "Nd", "Nd", "Nd", "Nd", "Nd", "S", "S", "S", "S", "S", "S", "S", "S", "S", "S"], "fractional_positions": [[0.1998, 0.3996, 0.7501], [0.8008, 0.6015, 0.2499], [0.0917, 0.1834, 0.8915], [0.9089, 0.8177, 0.1085], [0.6357, 0.2715, 0.0359], [0.1765, 0.3530, 0.3288], [0.5186, 0.0371, 0.7500], [0.8244, 0.6487, 0.8288], [0.0915, 0.1829, 0.6084], [0.3647, 0.7294, 0.5359], [0.9091, 0.8182, 0.3915], [0.4820, 0.9640, 0.2500], [0.8241, 0.6482, 0.6712], [0.6359, 0.2717, 0.4641], [0.1762, 0.3524, 0.1712], [0.3648, 0.7296, 0.9641], [0.7270, 0.4540, 0.9305], [0.4567, 0.9135, 0.8602], [0.0003, 0.0006, 0.5000], [0.2737, 0.5474, 0.4304], [0.2736, 0.5471, 0.0696], [0.5438, 0.0876, 0.1398], [0.7269, 0.4538, 0.5696], [0.5441, 0.0882, 0.3602], [0.0003, 0.0005, 0.0000], [0.4565, 0.9130, 0.6398]], "total_energy_ev_per_fu": -78.121}



{"formula": "Nd3InS6", "functional": "GGA-PBE", "state": "relaxed", "lattice_angstrom": [[-0.9655, -2.8473, -6.0934], [8.2982, 2.0622, -2.2784], [0.9016, -8.0291, 3.6090]], "species": ["Nd", "Nd", "Nd", "Nd", "Nd", "Nd", "S", "S", "S", "S", "S", "S", "S", "S", "S", "S", "S", "S", "In", "In"], "fractional_positions": [[0.4819, 0.9124, 0.7145], [0.8966, 0.5980, 0.4020], [0.9819, 0.0876, 0.2855], [0.4819, 0.2855, 0.0876], [0.3966, 0.4020, 0.5980], [0.9819, 0.7145, 0.9124], [0.6520, 0.2197, 0.7803], [0.1718, 0.0337, 0.9663], [0.1884, 0.3659, 0.3109], [0.6718, 0.9663, 0.0337], [0.6884, 0.6341, 0.6891], [0.7064, 0.9023, 0.4384], [0.2064, 0.0977, 0.5616], [0.1520, 0.7803, 0.2197], [0.7064, 0.5616, 0.0977], [0.2064, 0.4384, 0.9023], [0.1884, 0.6891, 0.6341], [0.6884, 0.3109, 0.3659], [0.5115, 0.8009, 0.1991], [0.0115, 0.1991, 0.8009]], "total_energy_ev_per_fu": -58.751}



{"formula": "NdInS", "functional": "GGA-PBE", "state": "relaxed", "lattice_angstrom": [[-1.8763, -1.3193, -4.0982], [-3.4380, -3.1982, -0.0873], [-7.8012, 4.9576, -0.7153]], "species": ["Nd", "Nd", "S", "S", "In", "In"], "fractional_positions": [[0.4012, 0.4012, 0.7964], [0.5988, 0.5988, 0.2036], [0.2935, 0.2935, 0.1196], [0.7065, 0.7065, 0.8804], [0.8473, 0.8473, 0.4581], [0.1527, 0.1527, 0.5419]], "total_energy_ev_per_fu": -15.099}



{"formula": "Nd2InS4", "functional": "GGA-PBE", "state": "relaxed", "lattice_angstrom": [[7.0504, 0.0000, 0.4338], [0.0000, 7.1977, 0.0000], [-2.1180, 0.0000, 7.4102]], "species": ["S", "S", "S", "S", "S", "S", "S", "S", "Nd", "Nd", "Nd", "Nd", "In", "In"], "fractional_positions": [[0.9759, 0.7500, 0.3403], [0.5006, 0.5020, 0.7410], [0.4994, 0.0020, 0.2590], [0.0241, 0.2500, 0.6597], [0.5006, 0.9980, 0.7410], [0.9601, 0.7500, 0.8548], [0.0399, 0.2500, 0.1452], [0.4994, 0.4980, 0.2590], [0.6949, 0.7500, 0.5364], [0.3051, 0.2500, 0.4636], [0.3327, 0.2500, 0.9634], [0.6673, 0.7500, 0.0366], [0.7890, 0.2500, 0.8565], [0.2110, 0.7500, 0.1435]], "total_energy_ev_per_fu": -38.379}



{"formula": "NdInS2", "functional": "GGA-PBE", "state": "relaxed", "lattice_angstrom": [[3.8667, 0.0000, 0.0000], [1.9333, 3.3486, 0.0000], [1.9333, 1.1162, 8.4517]], "species": ["S", "S", "In", "Nd"], "fractional_positions": [[0.8907, 0.8907, 0.3280], [0.1093, 0.1093, 0.6720], [0.5000, 0.5000, 0.5000], [0.0000, 0.0000, 0.0000]], "total_energy_ev_per_fu": -18.357}



{"formula": "Nd3InS", "functional": "GGA-PBE", "state": "relaxed", "lattice_angstrom": [[5.3883, 0.0000, 0.0000], [0.0000, 5.3883, 0.0000], [0.0000, 0.0000, 5.3883]], "species": ["In", "S", "Nd", "Nd", "Nd"], "fractional_positions": [[0.5000, 0.5000, 0.5000], [0.0000, 0.0000, 0.0000], [0.0000, 0.5000, 0.0000], [0.5000, 0.0000, 0.0000], [0.0000, 0.0000, 0.5000]], "total_energy_ev_per_fu": -25.577}



{"formula": "NdInS2", "functional": "GGA-PBE", "state": "relaxed", "lattice_angstrom": [[-2.1425, 3.2399, -1.4612], [-3.9610, -0.4769, -1.1426], [-4.2432, 2.5972, 6.0782]], "species": ["S", "S", "Nd", "In"], "fractional_positions": [[0.7361, 0.7361, 0.7919], [0.2639, 0.2639, 0.2081], [0.0000, 0.0000, 0.0000], [0.5000, 0.5000, 0.5000]], "total_energy_ev_per_fu": -21.213}



{"formula": "Nd4In2S", "functional": "GGA-PBE", "state": "relaxed", "lattice_angstrom": [[-3.6700, 1.0469, -1.6392], [-3.4620, -5.7321, -1.1723], [-5.2626, -0.4209, 6.2511]], "species": ["Nd", "Nd", "Nd", "Nd", "In", "In", "S"], "fractional_positions": [[0.0896, 0.1729, 0.6478], [0.9104, 0.8271, 0.3522], [0.6644, 0.7384, 0.9327], [0.3356, 0.2616, 0.0673], [0.3744, 0.5869, 0.6643], [0.6256, 0.4131, 0.3357], [0.0000, 0.0000, 0.0000]], "total_energy_ev_per_fu": -34.596}



{"formula": "NdIn2SnS4", "functional": "GGA-PBE", "state": "relaxed", "lattice_angstrom": [[4.0995, 0.0000, 0.0000], [0.0000, 7.3537, -0.2048], [0.0000, 2.5318, 6.7963]], "species": ["S", "S", "S", "S", "In", "In", "Nd", "Sn"], "fractional_positions": [[0.5000, 0.7263, 0.2662], [0.5000, 0.2737, 0.7338], [0.0000, 0.7365, 0.7449], [0.0000, 0.2635, 0.2551], [0.0000, 0.0000, 0.0000], [0.5000, 0.0000, 0.5000], [0.0000, 0.5000, 0.5000], [0.5000, 0.5000, 0.0000]], "total_energy_ev_per_fu": -37.375}



{"formula": "Sr2NdInS5", "functional": "GGA-PBE", "state": "relaxed", "lattice_angstrom": [[-0.0225, 4.0301, 0.8305], [-7.8861, -1.2938, -4.1295], [-5.4977, -2.3458, 11.2339]], "species": ["S", "S", "S", "S", "S", "S", "S", "S", "S", "S", "Nd", "Nd", "Sr", "Sr", "Sr", "Sr", "In", "In"], "fractional_positions": [[0.9502, 0.9003, 0.5612], [0.3189, 0.6378, 0.3669], [0.0498, 0.0997, 0.0612], [0.2850, 0.5701, 0.6659], [0.6811, 0.3622, 0.8669], [0.4924, 0.9849, 0.7688], [0.6283, 0.2567, 0.5004], [0.3717, 0.7433, 0.0004], [0.5076, 0.0151, 0.2688], [0.7150, 0.4299, 0.1659], [0.7856, 0.5712, 0.5140], [0.2144, 0.4288, 0.0140], [0.8651, 0.7302, 0.8063], [0.1117, 0.2233, 0.6882], [0.1349, 0.2698, 0.3063], [0.8883, 0.7767, 0.1882], [0.4701, 0.9402, 0.4522], [0.5299, 0.0598, 0.9522]], "total_energy_ev_per_fu": -46.571}



{"formula": "Nd6TiInS12", "functional": "GGA-PBE", "state": "relaxed", "lattice_angstrom": [[3.9301, 0.0000, 0.0000], [0.0000, 13.9177, 0.0000], [0.0000, 0.0000, 16.3756]], "species": ["S", "S", "S", "S", "S", "S", "S", "S", "S", "S", "S", "S", "S", "S", "S", "S", "S", "S", "S", "S", "S", "S", "S", "S", "Nd", "Nd", "Nd", "Nd", "Nd", "Nd", "Nd", "Nd", "Nd", "Nd", "Nd", "Nd", "In", "In", "Ti", "Ti"], "fractional_positions": [[0.0000, 0.8105, 0.4791], [0.0000, 0.1035, 0.7549], [0.0000, 0.1895, 0.5209], [0.5000, 0.6895, 0.9791], [0.0000, 0.8140, 0.7126], [0.5000, 0.6198, 0.3976], [0.0000, 0.1198, 0.1024], [0.0000, 0.8802, 0.8976], [0.5000, 0.6035, 0.7451], [0.0000, 0.5833, 0.5731], [0.5000, 0.0216, 0.3948], [0.5000, 0.0833, 0.9269], [0.5000, 0.9784, 0.6052], [0.0000, 0.1860, 0.2874], [0.5000, 0.6860, 0.2126], [0.0000, 0.4167, 0.4269], [0.0000, 0.8965, 0.2451], [0.0000, 0.5216, 0.1052], [0.5000, 0.3105, 0.0209], [0.0000, 0.4784, 0.8948], [0.5000, 0.3802, 0.6024], [0.5000, 0.3965, 0.2549], [0.5000, 0.9167, 0.0731], [0.5000, 0.3140, 0.7874], [0.5000, 0.1842, 0.6498], [0.0000, 0.5478, 0.2828], [0.0000, 0.6842, 0.8502], [0.0000, 0.2380, 0.8995], [0.0000, 0.7620, 0.1005], [0.5000, 0.9522, 0.7828], [0.5000, 0.7380, 0.6005], [0.5000, 0.2620, 0.3995], [0.5000, 0.8158, 0.3502], [0.0000, 0.4522, 0.7172], [0.5000, 0.0478, 0.2172], [0.0000, 0.3158, 0.1498], [0.5000, 0.5000, 0.0000], [0.0000, 0.0000, 0.5000], [0.0000, 0.0000, 0.0000], [0.5000, 0.5000, 0.5000]], "total_energy_ev_per_fu": -124.622}



{"formula": "Nd3Tl3InS8", "functional": "GGA-PBE", "state": "relaxed", "lattice_angstrom": [[-6.2219, 0.4062, 5.3744], [3.6959, -7.2047, -1.4807], [4.3734, 5.9988, 4.6096]], "species": ["S", "S", "S", "S", "S", "S", "S", "S", "In", "Tl", "Tl", "Tl", "Nd", "Nd", "Nd"], "fractional_positions": [[0.7740, 0.0229, 0.2971], [0.2632, 0.5264, 0.2897], [0.7511, 0.9771, 0.7029], [0.2260, 0.9771, 0.7029], [0.2489, 0.0229, 0.2971], [0.7368, 0.4736, 0.7103], [0.7743, 0.5486, 0.2973], [0.2257, 0.4514, 0.7027], [0.0000, 0.0000, 0.5000], [0.0000, 0.5000, 0.0000], [0.0000, 0.0000, 0.0000], [0.5000, 0.5000, 0.0000], [0.5000, 0.0000, 0.5000], [0.5000, 0.5000, 0.5000], [0.0000, 0.5000, 0.5000]], "total_energy_ev_per_fu": -74.801}



{"formula": "Nd3Tl4InS8", "functional": "GGA-PBE", "state": "relaxed", "lattice_angstrom": [[8.2406, 0.0000, 0.0000], [0.0000, 8.8844, 0.4466], [-4.1203, -4.1144, 5.8297]], "species": ["Nd", "Nd", "Nd", "Tl", "Tl", "Tl", "Tl", "S", "S", "S", "S", "S", "S", "S", "S", "In"], "fractional_positions": [[0.0000, 0.5000, 0.5000], [0.5000, 0.5000, 0.5000], [0.5000, 0.5000, 0.0000], [0.5000, 0.0000, 0.5000], [0.0000, 0.0000, 0.5000], [0.0000, 0.0000, 0.0000], [0.5000, 0.0000, 0.0000], [0.2274, 0.7016, 0.4549], [0.7726, 0.2984, 0.0258], [0.7726, 0.2984, 0.5451], [0.2533, 0.2984, 0.0258], [0.7467, 0.7016, 0.9742], [0.7351, 0.7054, 0.4702], [0.2649, 0.2946, 0.5298], [0.2274, 0.7016, 0.9742], [0.0000, 0.5000, 0.0000]], "total_energy_ev_per_fu": -78.520}



{"formula": "Nd2Tl3InS6", "functional": "GGA-PBE", "state": "relaxed", "lattice_angstrom": [[7.0904, 0.0079, -0.0024], [-3.5366, 6.1454, -0.0024], [-1.1877, -2.0564, 7.5218]], "species": ["Nd", "Nd", "S", "S", "S", "S", "S", "S", "Tl", "Tl", "Tl", "In"], "fractional_positions": [[0.6661, 0.3339, 0.0000], [0.3339, 0.6661, 0.0000], [0.3828, 0.0666, 0.1987], [0.0666, 0.3828, 0.1987], [0.9334, 0.6172, 0.8013], [0.2508, 0.2508, 0.7933], [0.7492, 0.7492, 0.2067], [0.6172, 0.9334, 0.8013], [0.1696, 0.8304, 0.5000], [0.5000, 0.5000, 0.5000], [0.8304, 0.1696, 0.5000], [0.0000, 0.0000, 0.0000]], "total_energy_ev_per_fu": -57.406}



{"formula": "NdInSb2", "functional": "GGA-PBE", "state": "relaxed", "lattice_angstrom": [[-3.2783, 2.0099, -2.1363], [-3.3336, -2.3136, 2.9389], [0.2192, 3.8092, 3.2474]], "species": ["In", "Nd", "Sb", "Sb"], "fractional_positions": [[0.5000, 0.0000, 0.0000], [0.5000, 0.5000, 0.5000], [0.0000, 0.5000, 0.0000], [0.0000, 0.0000, 0.5000]], "total_energy_ev_per_fu": -17.836}



{"formula": "Nd3InSb2", "functional": "GGA-PBE", "state": "relaxed", "lattice_angstrom": [[-5.5323, 1.3270, -2.8925], [1.8001, -6.1061, -6.2440], [-0.8405, -3.9735, 6.8259]], "species": ["Nd", "Nd", "Nd", "Nd", "Nd", "Nd", "Sb", "Sb", "Sb", "Sb", "In", "In"], "fractional_positions": [[0.5006, 0.7500, 0.0000], [0.8234, 0.9118, 0.6470], [0.8237, 0.4118, 0.6470], [0.1763, 0.5882, 0.3530], [0.4994, 0.2500, 0.0000], [0.1766, 0.0882, 0.3530], [0.3358, 0.4178, 0.6713], [0.6645, 0.0822, 0.3287], [0.3355, 0.9178, 0.6713], [0.6642, 0.5822, 0.3287], [0.0007, 0.7500, 0.0000], [0.9993, 0.2500, 0.0000]], "total_energy_ev_per_fu": -30.319}



{"formula": "Nd2InSb4", "functional": "GGA-PBE", "state": "relaxed", "lattice_angstrom": [[-4.2092, -1.1310, -0.4684], [0.9512, -4.0776, 1.2978], [-1.9433, 2.8864, 10.4933]], "species": ["Sb", "Sb", "Sb", "Sb", "Nd", "Nd", "In"], "fractional_positions": [[0.0000, 0.5000, 0.8232], [0.0000, 0.0000, 0.5000], [0.5000, 0.5000, 0.5000], [0.5000, 0.0000, 0.1768], [0.5000, 0.0000, 0.7243], [0.0000, 0.5000, 0.2757], [0.5000, 0.5000, 0.0000]], "total_energy_ev_per_fu": -33.559}



{"formula": "Nd3InSb", "functional": "GGA-PBE", "state": "relaxed", "lattice_angstrom": [[-3.7896, -1.0189, -1.4221], [-0.9226, -6.4783, 7.1003], [-3.9544, 3.2865, 8.1838]], "species": ["Nd", "Nd", "Nd", "Nd", "Nd", "Nd", "Sb", "Sb", "In", "In"], "fractional_positions": [[0.8628, 0.7646, 0.4508], [0.3634, 0.3408, 0.3938], [0.3634, 0.0469, 0.0990], [0.8628, 0.6239, 0.0422], [0.8635, 0.9894, 0.6770], [0.8635, 0.3990, 0.8162], [0.3628, 0.6938, 0.2469], [0.3635, 0.1944, 0.7464], [0.8634, 0.1944, 0.2458], [0.3632, 0.6943, 0.7465]], "total_energy_ev_per_fu": -23.405}



{"formula": "NdInSb2", "functional": "GGA-PBE", "state": "relaxed", "lattice_angstrom": [[-1.1759, -0.3991, 4.4206], [-0.4180, -4.1601, 1.8979], [6.2869, -1.3713, 3.9333]], "species": ["In", "Sb", "Sb", "Nd"], "fractional_positions": [[0.4965, 0.4965, 0.5106], [0.0854, 0.0854, 0.7437], [0.2521, 0.2521, 0.2438], [0.6660, 0.6660, 0.0019]], "total_energy_ev_per_fu": -17.225}